1.
First-principles (PBEsol) data for a relaxed MgZrRu2 crystal, as listed in Alexandria.

Results
DOS(E_F) = 5.5 states/eV per cell
formation enthalpy at 0 K = 147 meV per atom

Cell: 3.412 3.412 5.681 Å, 90.00 90.00 90.00°
Fractional coordinates of all 4 atoms:
Mg  0.000  0.000  0.000
Zr  0.500  0.500  0.677
Ru  0.000  0.000  0.477
Ru  0.500  0.500  0.210

***

2.
First-principles (PBEsol) data for a relaxed MgSb3S crystal, as listed in Alexandria.

Results
E_form (uncorrected) = 833 meV/atom
DOS(E_F) = 7.4 states/eV per cell

Cell: 5.218 5.218 5.218 Å, 90.00 90.00 90.00°
Fractional coordinates of all 5 atoms:
Mg  0.000  0.000  0.000
Sb  0.000  0.000  0.500
Sb  0.000  0.500  0.000
Sb  0.500  0.000  0.000
S  0.500  0.500  0.500

***

3.
First-principles (PBEsol) data for a relaxed Mg3SbS crystal, as listed in Alexandria.

Results
E_form (uncorrected) = 191 meV/atom
DOS(E_F) = 3.0 states/eV per cell

Cell: 5.284 5.284 5.284 Å, 90.00 90.00 90.00°
Fractional coordinates of all 5 atoms:
Mg  0.000  0.000  0.500
Mg  0.000  0.500  0.000
Mg  0.500  0.000  0.000
Sb  0.000  0.000  0.000
S  0.500  0.500  0.500

***

4.
First-principles (PBEsol) data for a relaxed MgTi2SbS crystal, as listed in Alexandria.

Results
E_form (uncorrected) = 771 meV/atom
DOS(E_F) = 6.2 states/eV per cell

Cell: 5.024 5.024 4.256 Å, 90.00 90.00 90.00°
Fractional coordinates of all 5 atoms:
Mg  0.000  0.000  0.000
Ti  0.000  0.500  0.000
Ti  0.500  0.000  0.000
Sb  0.500  0.500  0.500
S  0.000  0.000  0.500

***

5.
First-principles (PBEsol) data for a relaxed MgSc2S crystal, as listed in Alexandria.

Results
E above lowest polymorph = 0.111 eV per atom
E_form (uncorrected) = -207 meV/atom
DOS(E_F) = 15.5 states/eV per cell

Cell: 3.493 3.493 28.539 Å, 90.00 90.00 120.00°
Fractional coordinates of all 12 atoms:
Mg  0.000  0.000  0.000
Mg  0.333  0.667  0.667
Mg  0.667  0.333  0.333
Sc  0.000  0.000  0.419
Sc  0.000  0.000  0.581
Sc  0.333  0.667  0.086
Sc  0.333  0.667  0.247
Sc  0.667  0.333  0.753
Sc  0.667  0.333  0.914
S  0.000  0.000  0.500
S  0.333  0.667  0.167
S  0.667  0.333  0.833

***

6.
First-principles (PBEsol) data for a relaxed MgSc3S crystal, as listed in Alexandria.

Results
E_form (uncorrected) = -751 meV/atom
DOS(E_F) = 3.8 states/eV per cell

Cell: 4.829 4.829 4.829 Å, 90.00 90.00 90.00°
Fractional coordinates of all 5 atoms:
Mg  0.000  0.000  0.000
Sc  0.000  0.500  0.500
Sc  0.500  0.000  0.500
Sc  0.500  0.500  0.000
S  0.500  0.500  0.500

***

7.
First-principles (PBEsol) data for a relaxed MgSc2S crystal, as listed in Alexandria.

Results
E above lowest polymorph = 0.000 eV per atom
E_form (uncorrected) = -318 meV/atom
DOS(E_F) = 15.5 states/eV per cell

Cell: 6.743 6.743 6.743 Å, 90.00 90.00 90.00°
Fractional coordinates of all 16 atoms:
Mg  0.000  0.000  0.000
Mg  0.000  0.500  0.500
Mg  0.500  0.000  0.500
Mg  0.500  0.500  0.000
Sc  0.250  0.250  0.250
Sc  0.250  0.250  0.750
Sc  0.250  0.750  0.250
Sc  0.250  0.750  0.750
Sc  0.750  0.250  0.250
Sc  0.750  0.250  0.750
Sc  0.750  0.750  0.250
Sc  0.750  0.750  0.750
S  0.000  0.000  0.500
S  0.000  0.500  0.000
S  0.500  0.000  0.000
S  0.500  0.500  0.500

***

8.
First-principles (PBEsol) data for a relaxed MgScS3 crystal, as listed in Alexandria.

Results
E_form (uncorrected) = -764 meV/atom
DOS(E_F) = 3.1 states/eV per cell

Cell: 4.842 4.842 4.842 Å, 90.00 90.00 90.00°
Fractional coordinates of all 5 atoms:
Mg  0.000  0.000  0.000
Sc  0.500  0.500  0.500
S  0.000  0.500  0.500
S  0.500  0.000  0.500
S  0.500  0.500  0.000

***

9.
First-principles (PBEsol) data for a relaxed MgSc2S4 crystal, as listed in Alexandria.

Results
E above lowest polymorph = 0.043 eV per atom
E_form (uncorrected) = -1767 meV/atom

Cell: 11.975 3.601 12.405 Å, 90.00 90.00 90.00°
Fractional coordinates of all 28 atoms:
Mg  0.124  0.250  0.075
Mg  0.376  0.750  0.575
Mg  0.624  0.250  0.425
Mg  0.876  0.750  0.925
Sc  0.110  0.750  0.424
Sc  0.148  0.750  0.799
Sc  0.352  0.250  0.299
Sc  0.390  0.250  0.924
Sc  0.610  0.750  0.076
Sc  0.648  0.750  0.701
Sc  0.852  0.250  0.201
Sc  0.890  0.250  0.576
S  0.025  0.250  0.885
S  0.032  0.750  0.620
S  0.216  0.750  0.243
S  0.249  0.250  0.481
S  0.251  0.750  0.981
S  0.284  0.250  0.743
S  0.468  0.250  0.120
S  0.475  0.750  0.385
S  0.525  0.250  0.615
S  0.532  0.750  0.880
S  0.716  0.750  0.257
S  0.749  0.250  0.019
S  0.751  0.750  0.519
S  0.784  0.250  0.757
S  0.968  0.250  0.380
S  0.975  0.750  0.115

***

10.
First-principles (PBEsol) data for a relaxed MgSc2S4 crystal, as listed in Alexandria.

Results
E above lowest polymorph = 0.000 eV per atom
E_form (uncorrected) = -1810 meV/atom
DOS(E_F) = 0.0 states/eV per cell

Cell: 7.486 7.486 7.486 Å, 60.00 60.00 60.00°
Fractional coordinates of all 14 atoms:
Mg  0.125  0.125  0.125
Mg  0.875  0.875  0.875
Sc  0.000  0.500  0.500
Sc  0.500  0.000  0.500
Sc  0.500  0.500  0.000
Sc  0.500  0.500  0.500
S  0.258  0.258  0.258
S  0.258  0.258  0.726
S  0.258  0.726  0.258
S  0.274  0.742  0.742
S  0.726  0.258  0.258
S  0.742  0.274  0.742
S  0.742  0.742  0.274
S  0.742  0.742  0.742

***

11.
First-principles (PBEsol) data for a relaxed MgScTiS4 crystal, as listed in Alexandria.

Results
E_form (uncorrected) = -1572 meV/atom
DOS(E_F) = 6.6 states/eV per cell

Cell: 7.364 7.364 7.364 Å, 121.47 119.01 89.59°
Fractional coordinates of all 14 atoms:
Mg  0.379  0.129  0.250
Mg  0.621  0.871  0.750
Sc  0.000  0.500  0.500
Sc  0.500  0.500  0.000
Ti  0.000  0.000  0.500
Ti  0.000  0.500  0.000
S  0.223  0.745  0.478
S  0.232  0.255  0.978
S  0.235  0.246  0.511
S  0.235  0.725  0.989
S  0.765  0.275  0.011
S  0.765  0.754  0.489
S  0.768  0.745  0.022
S  0.777  0.255  0.522

***

12.
First-principles (PBEsol) data for a relaxed Mg2ScTi3S8 crystal, as listed in Alexandria.

Results
E_form (uncorrected) = -1466 meV/atom
DOS(E_F) = 7.9 states/eV per cell

Cell: 7.400 7.400 7.400 Å, 57.77 57.77 57.77°
Fractional coordinates of all 14 atoms:
Mg  0.130  0.130  0.130
Mg  0.870  0.870  0.870
Sc  0.500  0.500  0.500
Ti  0.000  0.500  0.500
Ti  0.500  0.000  0.500
Ti  0.500  0.500  0.000
S  0.253  0.253  0.724
S  0.253  0.724  0.253
S  0.260  0.260  0.260
S  0.276  0.747  0.747
S  0.724  0.253  0.253
S  0.740  0.740  0.740
S  0.747  0.276  0.747
S  0.747  0.747  0.276

***

Energy / eV/cell: -30.56; -15.61; -13.14; -23.45; -60.41; -29.67; -82.33; -25.29; -179.33; -90.26; -90.37; -90.61